Entry 1:
Crystalline TbYHgRh at its relaxed geometry, computed with PBE-GGA.

a b c (Å): 5.067 5.067 5.067
angles (deg): 60.00 60.00 60.00
Fractional positions:
1 Tb 0.000 0.000 0.000
2 Y 0.500 0.500 0.500
3 Hg 0.750 0.750 0.750
4 Rh 0.250 0.250 0.250

Calculated values
Calculated total energy in eV/atom: -5.299
SG: F-43m
Volume in Å³/cell: 92.0
Density in g/cm³: 9.95
ΔH_f (0 K) in eV/atom: -0.612



Entry 2:
Crystalline TcHg3Rh at its relaxed geometry, computed with PBE-GGA.

a b c (Å): 5.163 5.163 5.163
angles (deg): 90.00 90.00 90.00
Fractional positions:
1 Tc 0.000 0.000 0.000
2 Hg 0.000 0.500 0.500
3 Hg 0.500 0.000 0.500
4 Hg 0.500 0.500 0.000
5 Rh 0.500 0.500 0.500

Calculated values
Calculated total energy in eV/atom: -2.600
SG: Pm-3m
Energy above the most stable polymorph in this dataset in meV per atom: 0
Volume in Å³/cell: 137.6
Density in g/cm³: 9.68
ΔH_f (0 K) in eV/atom: 1.125



Entry 3:
Crystalline TcHgRh4 at its relaxed geometry, computed with PBE-GGA.

a b c (Å): 5.140 5.140 5.140
angles (deg): 60.00 60.00 60.00
Fractional positions:
1 Tc 0.000 0.000 0.000
2 Hg 0.750 0.750 0.750
3 Rh 0.375 0.375 0.375
4 Rh 0.375 0.375 0.875
5 Rh 0.375 0.875 0.375
6 Rh 0.875 0.375 0.375

Calculated values
Calculated total energy in eV/atom: -6.271
SG: F-43m
Volume in Å³/cell: 96.0
Density in g/cm³: 12.28
ΔH_f (0 K) in eV/atom: 0.408



Entry 4:
Crystalline Hg2Te2Rh at its relaxed geometry, computed with PBE-GGA.

a b c (Å): 6.687 6.687 6.946
angles (deg): 90.00 90.00 90.00
Fractional positions:
1 Hg 0.170 0.330 0.000
2 Hg 0.330 0.830 0.000
3 Hg 0.670 0.170 0.000
4 Hg 0.830 0.670 0.000
5 Te 0.148 0.352 0.500
6 Te 0.352 0.852 0.500
7 Te 0.648 0.148 0.500
8 Te 0.852 0.648 0.500
9 Rh 0.000 0.000 0.500
10 Rh 0.500 0.500 0.500

Calculated values
Calculated total energy in eV/atom: -2.813
SG: P4/mbm
Volume in Å³/cell: 310.6
ΔE_f (raw) in eV/atom: 0.03
Density in g/cm³: 8.12



Entry 5:
Crystalline HgTe2Rh2 at its relaxed geometry, computed with PBE-GGA.

a b c (Å): 8.400 8.400 8.400
angles (deg): 152.10 152.10 39.87
Fractional positions:
1 Hg 0.000 0.000 0.000
2 Te 0.354 0.354 0.000
3 Te 0.646 0.646 0.000
4 Rh 0.250 0.750 0.500
5 Rh 0.750 0.250 0.500

Calculated values
Calculated total energy in eV/atom: -4.483
SG: I4/mmm
Energy above the most stable polymorph in this dataset in meV per atom: 0
Volume in Å³/cell: 129.5
ΔE_f (raw) in eV/atom: -0.22
Density in g/cm³: 8.48



Entry 6:
Crystalline Hg4TeRh at its relaxed geometry, computed with PBE-GGA.

a b c (Å): 5.826 5.826 5.826
angles (deg): 60.00 60.00 60.00
Fractional positions:
1 Hg 0.125 0.125 0.125
2 Hg 0.125 0.125 0.626
3 Hg 0.125 0.626 0.125
4 Hg 0.626 0.125 0.125
5 Te 0.500 0.500 0.500
6 Rh 0.750 0.750 0.750

Calculated values
Calculated total energy in eV/atom: -1.397
SG: F-43m
Volume in Å³/cell: 139.9
ΔE_f (raw) in eV/atom: 0.55
Density in g/cm³: 12.26